# 1
This record from Alexandria via LeMat-Bulk describes a relaxed CeInNiPd crystal. The functional is GGA-PBE.

Calculated values
E_tot = -5.388 eV/atom
space group = F-43m
total magnetization = 1.13 μB per cell

a = 6.7781 Å, b = 6.7781 Å, c = 6.7781 Å
α = 90.00°, β = 90.00°, γ = 90.00°
With the nearest neighbours (Å) after each atom.
Fractional positions:
1 Ce 0.0000 0.0000 0.0000  4 Ni 2.94, 4 Pd 2.94
2 Ce 0.0000 0.5000 0.5000  4 Ni 2.94, 4 Pd 2.94
3 Ce 0.5000 0.0000 0.5000  4 Ni 2.94, 4 Pd 2.94
4 Ce 0.5000 0.5000 0.0000  4 Pd 2.94, 4 Ni 2.94
5 In 0.0000 0.0000 0.5000  4 Ni 2.94, 4 Pd 2.94
6 In 0.0000 0.5000 0.0000  4 Ni 2.94, 4 Pd 2.94
7 In 0.5000 0.0000 0.0000  4 Ni 2.94, 4 Pd 2.94
8 In 0.5000 0.5000 0.5000  4 Ni 2.94, 4 Pd 2.94
9 Ni 0.2500 0.2500 0.2500  4 In 2.94, 4 Ce 2.94
10 Ni 0.2500 0.7500 0.7500  4 In 2.94, 4 Ce 2.94
11 Ni 0.7500 0.2500 0.7500  4 In 2.94, 4 Ce 2.94
12 Ni 0.7500 0.7500 0.2500  4 In 2.94, 4 Ce 2.94
13 Pd 0.2500 0.2500 0.7500  4 In 2.94, 4 Ce 2.94
14 Pd 0.2500 0.7500 0.2500  4 In 2.94, 4 Ce 2.94
15 Pd 0.7500 0.2500 0.2500  4 In 2.94, 4 Ce 2.94
16 Pd 0.7500 0.7500 0.7500  4 In 2.94, 4 Ce 2.94

***

# 2
This record from Alexandria via LeMat-Bulk describes a relaxed AgSn2Pt crystal. The functional is GGA-PBE.

Calculated values
E_tot = -4.270 eV/atom
space group = I-42d
energy relative to the lowest polymorph listed for this composition = 59.3 meV per atom
total magnetization = 0.00 μB per cell

a = 8.5321 Å, b = 8.5321 Å, c = 5.4487 Å
α = 90.00°, β = 90.00°, γ = 90.00°
With the nearest neighbours (Å) after each atom.
Fractional positions:
1 Ag 0.0000 0.0000 0.0000  2 Pt 2.72
2 Ag 0.0000 0.5000 0.2500  2 Pt 2.72
3 Ag 0.5000 0.0000 0.7500  2 Pt 2.72
4 Ag 0.5000 0.5000 0.5000  2 Pt 2.72
5 Sn 0.1673 0.2500 0.6250  2 Pt 2.66
6 Sn 0.2500 0.6673 0.8750  2 Pt 2.66
7 Sn 0.2500 0.8327 0.3750  2 Pt 2.66
8 Sn 0.3327 0.2500 0.1250  2 Pt 2.66
9 Sn 0.6673 0.7500 0.1250  2 Pt 2.66
10 Sn 0.7500 0.1673 0.3750  2 Pt 2.66
11 Sn 0.7500 0.3327 0.8750  2 Pt 2.66
12 Sn 0.8327 0.7500 0.6250  2 Pt 2.66
13 Pt 0.0000 0.0000 0.5000  4 Sn 2.66, 2 Ag 2.72
14 Pt 0.0000 0.5000 0.7500  4 Sn 2.66, 2 Ag 2.72
15 Pt 0.5000 0.0000 0.2500  4 Sn 2.66, 2 Ag 2.72
16 Pt 0.5000 0.5000 0.0000  4 Sn 2.66, 2 Ag 2.72

***

# 3
This record from Alexandria via LeMat-Bulk describes a relaxed Pd3AuBr crystal. The functional is GGA-PBE.

Calculated values
E_tot = -3.531 eV/atom
space group = Pm-3m
energy relative to the lowest polymorph listed for this composition = 0.0 meV per atom
total magnetization = 0.00 μB per cell
raw formation energy = 0.58 eV per atom

a = 4.7116 Å, b = 4.7116 Å, c = 4.7116 Å
α = 90.00°, β = 90.00°, γ = 90.00°
With the nearest neighbours (Å) after each atom.
Fractional positions:
1 Pd 0.0000 0.0000 0.5000  2 Br 2.36
2 Pd 0.0000 0.5000 0.0000  2 Br 2.36
3 Pd 0.5000 0.0000 0.0000  2 Br 2.36
4 Au 0.5000 0.5000 0.5000  12 Pd 3.33
5 Br 0.0000 0.0000 0.0000  6 Pd 2.36

***

# 4
This record from Alexandria via LeMat-Bulk describes a relaxed NdDy4Al crystal. The functional is GGA-PBE.

Calculated values
E_tot = -4.528 eV/atom
space group = C2/c
energy relative to the lowest polymorph listed for this composition = 74.3 meV per atom
total magnetization = 0.00 μB per cell

a = 8.2232 Å, b = 8.2232 Å, c = 6.2274 Å
α = 100.12°, β = 100.12°, γ = 115.18°
With the nearest neighbours (Å) after each atom.
Fractional positions:
1 Nd 0.0976 0.9024 0.7500  10 Dy 3.45-3.73
2 Nd 0.9024 0.0976 0.2500  10 Dy 3.45-3.73
3 Dy 0.1096 0.3337 0.8715  2 Al 3.19-3.20, 3 Dy 3.31-3.57, 2 Nd 3.45-3.53
4 Dy 0.2167 0.5815 0.4518  2 Al 3.08-3.10, 2 Dy 3.31-3.44
5 Dy 0.3337 0.1096 0.3715  2 Al 3.19-3.20, 3 Dy 3.31-3.57, 2 Nd 3.45-3.53
6 Dy 0.4185 0.7833 0.0482  2 Al 3.08-3.10, 2 Dy 3.31-3.44
7 Dy 0.5815 0.2167 0.9518  2 Al 3.08-3.10, 2 Dy 3.31-3.44
8 Dy 0.6663 0.8904 0.6285  2 Al 3.19-3.20, 3 Dy 3.31-3.57, 2 Nd 3.45-3.53
9 Dy 0.7833 0.4185 0.5482  2 Al 3.08-3.10, 2 Dy 3.31-3.44
10 Dy 0.8904 0.6663 0.1285  2 Al 3.19-3.20, 3 Dy 3.31-3.57, 2 Nd 3.45-3.53
11 Al 0.4994 0.5006 0.2500  8 Dy 3.08-3.20, 2 Al 3.11
12 Al 0.5006 0.4994 0.7500  8 Dy 3.08-3.20, 2 Al 3.11

***

# 5
This record from Alexandria via LeMat-Bulk describes a relaxed AlBiRu3 crystal. The functional is GGA-PBE.

Calculated values
E_tot = -6.243 eV/atom
space group = Pm-3m
energy relative to the lowest polymorph listed for this composition = 0.0 meV per atom
total magnetization = 0.00 μB per cell

a = 4.5003 Å, b = 4.5003 Å, c = 4.5003 Å
α = 90.00°, β = 90.00°, γ = 90.00°
With the nearest neighbours (Å) after each atom.
Fractional positions:
1 Al 0.0000 0.0000 0.0000  6 Ru 2.25
2 Bi 0.5000 0.5000 0.5000  12 Ru 3.18
3 Ru 0.0000 0.0000 0.5000  2 Al 2.25
4 Ru 0.0000 0.5000 0.0000  2 Al 2.25
5 Ru 0.5000 0.0000 0.0000  2 Al 2.25

***

# 6
This record from Alexandria via LeMat-Bulk describes a relaxed CsLi3O crystal. The functional is GGA-PBE.

Calculated values
E_tot = -2.666 eV/atom
space group = Pm-3m
energy relative to the lowest polymorph listed for this composition = 0.0 meV per atom
total magnetization = 0.00 μB per cell
raw formation energy = -0.36 eV per atom

a = 4.6240 Å, b = 4.6240 Å, c = 4.6240 Å
α = 90.00°, β = 90.00°, γ = 90.00°
With the nearest neighbours (Å) after each atom.
Fractional positions:
1 Cs 0.0000 0.0000 0.0000  12 Li 3.27
2 Li 0.0000 0.5000 0.5000  2 O 2.31
3 Li 0.5000 0.0000 0.5000  2 O 2.31
4 Li 0.5000 0.5000 0.0000  2 O 2.31
5 O 0.5000 0.5000 0.5000  6 Li 2.31

***

Question: Among the records above, which one has the lowest E_tot?
Answer: AlBiRu3